(1)
Entry from Alexandria via LeMat-Bulk: a geometry-optimized AlSbRuI2 structure (PBE).

```
data_AlSbRuI2
_cell_length_a 5.633
_cell_length_b 5.633
_cell_length_c 4.980
_cell_angle_alpha 90.00
_cell_angle_beta 90.00
_cell_angle_gamma 90.00
_symmetry_space_group_name_H-M 'P 4/m m m'
_symmetry_Int_Tables_number 123
_symmetry_space_group_name_Hall '-P 4 2'
loop_
_atom_site_label
_atom_site_type_symbol
_atom_site_fract_x
_atom_site_fract_y
_atom_site_fract_z
Al1 Al 0.000 0.000 0.000
Sb1 Sb 0.500 0.500 0.000
Ru1 Ru 0.500 0.500 0.500
I1 I 0.000 0.500 0.500
```

Properties
- Formation energy from raw total energies: 0.469 eV/atom
- E_tot: -3.58 eV/atom

(2)
Entry from Alexandria via LeMat-Bulk: a geometry-optimized AlSb2RuI structure (PBE).

```
data_AlSb2RuI
_cell_length_a 5.240
_cell_length_b 5.240
_cell_length_c 5.355
_cell_angle_alpha 90.00
_cell_angle_beta 90.00
_cell_angle_gamma 90.00
_symmetry_space_group_name_H-M 'P 4/m m m'
_symmetry_Int_Tables_number 123
_symmetry_space_group_name_Hall '-P 4 2'
loop_
_atom_site_label
_atom_site_type_symbol
_atom_site_fract_x
_atom_site_fract_y
_atom_site_fract_z
Al1 Al 0.000 0.000 0.000
Sb1 Sb 0.000 0.500 0.000
Ru1 Ru 0.500 0.500 0.500
I1 I 0.000 0.000 0.500
```

Properties
- Formation energy from raw total energies: 1.175 eV/atom
- E_tot: -3.39 eV/atom

(3)
Entry from Alexandria via LeMat-Bulk: a geometry-optimized AlTeRuI2 structure (PBE).

```
data_AlTeRuI2
_cell_length_a 5.468
_cell_length_b 5.468
_cell_length_c 5.459
_cell_angle_alpha 90.00
_cell_angle_beta 90.00
_cell_angle_gamma 90.00
_symmetry_space_group_name_H-M 'P 4/m m m'
_symmetry_Int_Tables_number 123
_symmetry_space_group_name_Hall '-P 4 2'
loop_
_atom_site_label
_atom_site_type_symbol
_atom_site_fract_x
_atom_site_fract_y
_atom_site_fract_z
Al1 Al 0.000 0.000 0.000
Te1 Te 0.000 0.000 0.500
Ru1 Ru 0.500 0.500 0.500
I1 I 0.000 0.500 0.000
```

Properties
- Formation energy from raw total energies: 0.893 eV/atom
- E_tot: -2.96 eV/atom

(4)
Entry from Alexandria via LeMat-Bulk: a geometry-optimized AlTeRuI2 structure (PBE).

```
data_AlTeRuI2
_cell_length_a 5.672
_cell_length_b 5.672
_cell_length_c 4.997
_cell_angle_alpha 90.00
_cell_angle_beta 90.00
_cell_angle_gamma 90.00
_symmetry_space_group_name_H-M 'P 4/m m m'
_symmetry_Int_Tables_number 123
_symmetry_space_group_name_Hall '-P 4 2'
loop_
_atom_site_label
_atom_site_type_symbol
_atom_site_fract_x
_atom_site_fract_y
_atom_site_fract_z
Al1 Al 0.000 0.000 0.000
Te1 Te 0.500 0.500 0.000
Ru1 Ru 0.500 0.500 0.500
I1 I 0.000 0.500 0.500
```

Properties
- Formation energy from raw total energies: 0.394 eV/atom
- E_tot: -3.46 eV/atom

(5)
Entry from Alexandria via LeMat-Bulk: a geometry-optimized AlTlRu2I structure (PBE).

```
data_AlTlRu2I
_cell_length_a 4.754
_cell_length_b 4.754
_cell_length_c 5.433
_cell_angle_alpha 90.00
_cell_angle_beta 90.00
_cell_angle_gamma 90.00
_symmetry_space_group_name_H-M 'P 4/m m m'
_symmetry_Int_Tables_number 123
_symmetry_space_group_name_Hall '-P 4 2'
loop_
_atom_site_label
_atom_site_type_symbol
_atom_site_fract_x
_atom_site_fract_y
_atom_site_fract_z
Al1 Al 0.000 0.000 0.000
Tl1 Tl 0.000 0.000 0.500
Ru1 Ru 0.000 0.500 0.000
I1 I 0.500 0.500 0.500
```

Properties
- Formation energy from raw total energies: 1.084 eV/atom
- E_tot: -4.16 eV/atom

(6)
Entry from Alexandria via LeMat-Bulk: a geometry-optimized AlRuWI2 structure (PBE).

```
data_AlRuWI2
_cell_length_a 5.524
_cell_length_b 5.524
_cell_length_c 4.813
_cell_angle_alpha 90.00
_cell_angle_beta 90.00
_cell_angle_gamma 90.00
_symmetry_space_group_name_H-M 'P 4/m m m'
_symmetry_Int_Tables_number 123
_symmetry_space_group_name_Hall '-P 4 2'
loop_
_atom_site_label
_atom_site_type_symbol
_atom_site_fract_x
_atom_site_fract_y
_atom_site_fract_z
Al1 Al 0.000 0.000 0.000
Ru1 Ru 0.500 0.500 0.500
W1 W 0.500 0.500 0.000
I1 I 0.000 0.500 0.500
```

Properties
- Formation energy from raw total energies: 1.279 eV/atom
- E_tot: -4.54 eV/atom

(7)
Entry from Alexandria via LeMat-Bulk: a geometry-optimized AlRuWI2 structure (PBE).

```
data_AlRuWI2
_cell_length_a 5.409
_cell_length_b 5.409
_cell_length_c 4.642
_cell_angle_alpha 90.00
_cell_angle_beta 90.00
_cell_angle_gamma 90.00
_symmetry_space_group_name_H-M 'P 4/m m m'
_symmetry_Int_Tables_number 123
_symmetry_space_group_name_Hall '-P 4 2'
loop_
_atom_site_label
_atom_site_type_symbol
_atom_site_fract_x
_atom_site_fract_y
_atom_site_fract_z
Al1 Al 0.000 0.000 0.000
Ru1 Ru 0.000 0.000 0.500
W1 W 0.500 0.500 0.000
I1 I 0.000 0.500 0.500
```

Properties
- Formation energy from raw total energies: 1.514 eV/atom
- E_tot: -4.30 eV/atom

(8)
Entry from Alexandria via LeMat-Bulk: a geometry-optimized AlS4I structure (PBE).

```
data_AlS4I
_cell_length_a 7.044
_cell_length_b 8.069
_cell_length_c 8.070
_cell_angle_alpha 78.58
_cell_angle_beta 65.28
_cell_angle_gamma 65.38
_symmetry_space_group_name_H-M 'P -1'
_symmetry_Int_Tables_number 2
_symmetry_space_group_name_Hall '-P 1'
loop_
_atom_site_label
_atom_site_type_symbol
_atom_site_fract_x
_atom_site_fract_y
_atom_site_fract_z
Al1 Al 0.250 0.038 0.462
S1 S 0.126 0.834 0.337
S2 S 0.187 0.059 0.183
S3 S 0.314 0.316 0.441
S4 S 0.374 0.163 0.666
I1 I 0.249 0.743 0.758
```

Properties
- Formation energy from raw total energies: -0.218 eV/atom
- E_tot: -3.85 eV/atom

(9)
Entry from Alexandria via LeMat-Bulk: a geometry-optimized AlSI2 structure (PBE).

```
data_AlSI2
_cell_length_a 7.381
_cell_length_b 7.381
_cell_length_c 7.381
_cell_angle_alpha 90.00
_cell_angle_beta 90.00
_cell_angle_gamma 90.00
_symmetry_space_group_name_H-M 'F m -3 m'
_symmetry_Int_Tables_number 225
_symmetry_space_group_name_Hall '-F 4 2 3'
loop_
_atom_site_label
_atom_site_type_symbol
_atom_site_fract_x
_atom_site_fract_y
_atom_site_fract_z
Al1 Al 0.000 0.000 0.000
S1 S 0.000 0.000 0.500
I1 I 0.250 0.250 0.250
```

Properties
- Formation energy from raw total energies: 0.551 eV/atom
- E_tot: -2.19 eV/atom

(10)
Entry from Alexandria via LeMat-Bulk: a geometry-optimized Al3SI7 structure (PBE).

```
data_Al3SI7
_cell_length_a 7.8366
_cell_length_b 7.8366
_cell_length_c 7.5188
_cell_angle_alpha 90.00
_cell_angle_beta 90.00
_cell_angle_gamma 120.00
_symmetry_space_group_name_H-M 'P 3 m 1'
_symmetry_Int_Tables_number 156
_symmetry_space_group_name_Hall 'P 3 -2"'
loop_
_atom_site_label
_atom_site_type_symbol
_atom_site_fract_x
_atom_site_fract_y
_atom_site_fract_z
Al1 Al 0.0288 0.5144 0.0000
S1 S 0.3333 0.6667 0.1589
I1 I 0.1683 0.3365 0.7710
I2 I 0.3374 0.1687 0.2027
I3 I 0.6667 0.3333 0.7805
```

Properties
- Formation energy from raw total energies: -0.609 eV/atom
- E_tot: -2.99 eV/atom

(11)
Entry from Alexandria via LeMat-Bulk: a geometry-optimized Al2SI structure (PBE).

```
data_Al2SI
_cell_length_a 7.033
_cell_length_b 7.033
_cell_length_c 7.033
_cell_angle_alpha 90.00
_cell_angle_beta 90.00
_cell_angle_gamma 90.00
_symmetry_space_group_name_H-M 'F m -3 m'
_symmetry_Int_Tables_number 225
_symmetry_space_group_name_Hall '-F 4 2 3'
loop_
_atom_site_label
_atom_site_type_symbol
_atom_site_fract_x
_atom_site_fract_y
_atom_site_fract_z
Al1 Al 0.250 0.250 0.250
S1 S 0.000 0.000 0.000
I1 I 0.000 0.000 0.500
```

Properties
- Formation energy from raw total energies: 0.233 eV/atom
- E_tot: -3.06 eV/atom

(12)
Entry from Alexandria via LeMat-Bulk: a geometry-optimized AlS3I structure (PBE).

```
data_AlS3I
_cell_length_a 4.684
_cell_length_b 4.684
_cell_length_c 4.684
_cell_angle_alpha 90.00
_cell_angle_beta 90.00
_cell_angle_gamma 90.00
_symmetry_space_group_name_H-M 'P m -3 m'
_symmetry_Int_Tables_number 221
_symmetry_space_group_name_Hall '-P 4 2 3'
loop_
_atom_site_label
_atom_site_type_symbol
_atom_site_fract_x
_atom_site_fract_y
_atom_site_fract_z
Al1 Al 0.000 0.000 0.000
S1 S 0.000 0.000 0.500
I1 I 0.500 0.500 0.500
```

Properties
- Formation energy from raw total energies: 0.180 eV/atom
- E_tot: -3.36 eV/atom